# Tl2CdOsO8, optimized geometry, DFT PBE
# - Space group: P2/m
# - ΔE_f (raw): -0.73 eV/atom
# - Uncorrected energy: -5.44 eV/atom
data_Tl2CdOsO8
_cell_length_a 4.957
_cell_length_b 6.895
_cell_length_c 5.080
_cell_angle_alpha 90.00
_cell_angle_beta 94.01
_cell_angle_gamma 90.00
_space_group_name_H-M_alt 'P 1'
_space_group_IT_number 1
loop_
_space_group_symop_operation_xyz
'x,y,z'
loop_
_atom_site_label
_atom_site_type_symbol
_atom_site_fract_x
_atom_site_fract_y
_atom_site_fract_z
Tl1 Tl 0.000 0.248 0.000
Tl2 Tl 0.000 0.752 0.000
Cd1 Cd 0.500 0.000 0.500
Os1 Os 0.500 0.500 0.500
O1 O 0.227 0.000 0.169
O2 O 0.230 0.500 0.201
O3 O 0.310 0.307 0.659
O4 O 0.310 0.693 0.659
O5 O 0.690 0.307 0.341
O6 O 0.690 0.693 0.341
O7 O 0.770 0.500 0.799
O8 O 0.773 0.000 0.831

# InNi2Br, optimized geometry, DFT PBE
# - Space group: P4/mmm
# - ΔE_f (raw): 0.23 eV/atom
# - Uncorrected energy: -3.76 eV/atom
data_InNi2Br
_cell_length_a 3.309
_cell_length_b 3.309
_cell_length_c 6.248
_cell_angle_alpha 90.00
_cell_angle_beta 90.00
_cell_angle_gamma 90.00
_space_group_name_H-M_alt 'P 1'
_space_group_IT_number 1
loop_
_space_group_symop_operation_xyz
'x,y,z'
loop_
_atom_site_label
_atom_site_type_symbol
_atom_site_fract_x
_atom_site_fract_y
_atom_site_fract_z
In1 In 0.000 0.000 0.000
Ni1 Ni 0.500 0.500 0.208
Ni2 Ni 0.500 0.500 0.792
Br1 Br 0.000 0.000 0.500

# HoAl3Ga3, optimized geometry, DFT PBE
# - Space group: Pm-3n
# - ΔE_f: 0.298 eV per atom
# - Uncorrected energy: -3.26 eV/atom
data_HoAl3Ga3
_cell_length_a 6.972
_cell_length_b 6.972
_cell_length_c 6.972
_cell_angle_alpha 90.00
_cell_angle_beta 90.00
_cell_angle_gamma 90.00
_space_group_name_H-M_alt 'P 1'
_space_group_IT_number 1
loop_
_space_group_symop_operation_xyz
'x,y,z'
loop_
_atom_site_label
_atom_site_type_symbol
_atom_site_fract_x
_atom_site_fract_y
_atom_site_fract_z
Ho1 Ho 0.000 0.000 0.000
Ho2 Ho 0.500 0.500 0.500
Al1 Al 0.000 0.250 0.500
Al2 Al 0.000 0.750 0.500
Al3 Al 0.250 0.500 0.000
Al4 Al 0.500 0.000 0.250
Al5 Al 0.500 0.000 0.750
Al6 Al 0.750 0.500 0.000
Ga1 Ga 0.000 0.500 0.250
Ga2 Ga 0.000 0.500 0.750
Ga3 Ga 0.250 0.000 0.500
Ga4 Ga 0.500 0.250 0.000
Ga5 Ga 0.500 0.750 0.000
Ga6 Ga 0.750 0.000 0.500